--- w ---
Below is crystalline ZrInCo3 at its relaxed geometry, with properties calculated at the PBE-GGA level.

Lattice parameters (Å, degrees): 4.582 4.582 4.582 90.00 90.00 90.00
Space group Pm-3m (No. 221)
Asymmetric unit:
Zr 0.000 0.000 0.000
In 0.500 0.500 0.500
Co 0.000 0.500 0.500

Properties
Crystal system: cubic
Density of states at the Fermi level (states/eV per atom): 1.0781


--- x ---
Below is crystalline ZrInCo3 at its relaxed geometry, with properties calculated at the PBE-GGA level.

Lattice parameters (Å, degrees): 4.562 4.562 4.562 90.00 90.00 90.00
Space group Pm-3m (No. 221)
Asymmetric unit:
Zr 0.000 0.000 0.000
In 0.500 0.500 0.500
Co 0.000 0.000 0.500

Properties
Crystal system: cubic
Density of states at the Fermi level (states/eV per atom): 1.2779


Stability ranking, top and bottom: w is the most stable and x is the least stable.


--- w ---
Below is crystalline ZrIn2Co2 at its relaxed geometry, with properties calculated at the PBE-GGA level.

Lattice parameters (Å, degrees): 7.679 7.679 2.889 90.00 90.00 90.00
Space group P4/mbm (No. 127)
Asymmetric unit:
Zr 0.000 0.000 0.000
In 0.131 0.369 0.000
Co 0.169 0.669 0.500

Properties
Crystal system: tetragonal
Density of states at the Fermi level (states/eV per atom): 0.9649


--- x ---
Below is crystalline ZrIn2Co2 at its relaxed geometry, with properties calculated at the PBE-GGA level.

Lattice parameters (Å, degrees): 3.855 3.855 12.422 90.00 90.00 90.00
Space group I4/mmm (No. 139)
Asymmetric unit:
Zr 0.000 0.000 0.000
In 0.000 0.000 0.387
Co 0.000 0.500 0.250

Properties
Crystal system: tetragonal
Density of states at the Fermi level (states/eV per atom): 2.4676


--- y ---
Below is crystalline ZrIn2Co2 at its relaxed geometry, with properties calculated at the PBE-GGA level.

Lattice parameters (Å, degrees): 6.576 6.576 4.018 90.00 90.00 90.00
Space group P4/mbm (No. 127)
Asymmetric unit:
Zr 0.000 0.000 0.000
In 0.171 0.329 0.500
Co 0.126 0.626 0.000

Properties
Crystal system: tetragonal
Density of states at the Fermi level (states/eV per atom): 0.7657


Stability ranking, top and bottom: y is the most stable and x is the least stable.


--- w ---
Below is crystalline Zr4InCo at its relaxed geometry, with properties calculated at the PBE-GGA level.

Lattice parameters (Å, degrees): 10.224 4.427 6.383 90.00 120.92 90.00
Space group C2/m (No. 12)
Asymmetric unit:
Zr 0.131 0.000 0.293
Zr 0.205 0.000 0.829
In 0.000 0.500 0.500
Co 0.000 0.500 0.000

Properties
Crystal system: monoclinic
Density of states at the Fermi level (states/eV per atom): 0.8945


--- x ---
Below is crystalline Zr4InCo at its relaxed geometry, with properties calculated at the PBE-GGA level.

Lattice parameters (Å, degrees): 8.037 8.037 8.037 90.00 90.00 90.00
Space group F-43m (No. 216)
Asymmetric unit:
Zr 0.124 0.124 0.124
In 0.000 0.000 0.500
Co 0.250 0.250 0.750

Properties
Crystal system: cubic
Density of states at the Fermi level (states/eV per atom): 1.3655


Stability ranking, top and bottom: w is the most stable and x is the least stable.


--- w ---
Below is crystalline Co7Ir3 at its relaxed geometry, with properties calculated at the PBE-GGA level.

Lattice parameters (Å, degrees): 13.128 3.654 5.146 90.00 101.87 90.00
Space group C2/m (No. 12)
Asymmetric unit:
Co 0.000 0.000 0.000
Co 0.098 0.500 0.801
Co 0.099 0.500 0.301
Co 0.200 0.000 0.595
Ir 0.000 0.000 0.500
Ir 0.198 0.000 0.104

Properties
Crystal system: monoclinic
Density of states at the Fermi level (states/eV per atom): 1.6673


--- x ---
Below is crystalline Co7Ir3 at its relaxed geometry, with properties calculated at the PBE-GGA level.

Lattice parameters (Å, degrees): 3.643 3.645 18.104 90.00 90.00 90.00
Space group Amm2 (No. 38)
Asymmetric unit:
Co 0.000 0.000 0.000
Co 0.000 0.000 0.191
Co 0.000 0.000 0.593
Co 0.000 0.000 0.796
Co 0.500 0.000 0.092
Co 0.500 0.000 0.500
Co 0.500 0.000 0.901
Ir 0.000 0.000 0.400
Ir 0.500 0.000 0.296
Ir 0.500 0.000 0.692

Properties
Crystal system: orthorhombic
Density of states at the Fermi level (states/eV per atom): 1.4688


Stability ranking, top and bottom: x is the most stable and w is the least stable.


--- w ---
Below is crystalline Co5Ir3 at its relaxed geometry, with properties calculated at the PBE-GGA level.

Lattice parameters (Å, degrees): 7.209 7.400 3.679 90.00 90.00 90.00
Space group Cmmm (No. 65)
Asymmetric unit:
Co 0.000 0.000 0.000
Co 0.245 0.000 0.500
Co 0.250 0.250 0.000
Ir 0.000 0.245 0.500
Ir 0.000 0.500 0.000

Properties
Crystal system: orthorhombic
Density of states at the Fermi level (states/eV per atom): 1.4583


--- x ---
Below is crystalline Co5Ir3 at its relaxed geometry, with properties calculated at the PBE-GGA level.

Lattice parameters (Å, degrees): 7.3030 7.3030 4.4973 90.00 90.00 120.00
Space group P6_3/mcm (No. 193)
Asymmetric unit:
Co 0.0000 0.1982 0.2500
Co 0.3333 0.6667 0.0000
Ir 0.0000 0.4028 0.7500

Properties
Crystal system: hexagonal
Density of states at the Fermi level (states/eV per atom): 1.6359


--- y ---
Below is crystalline Co5Ir3 at its relaxed geometry, with properties calculated at the PBE-GGA level.

Lattice parameters (Å, degrees): 9.866 9.064 4.927 90.00 115.95 90.00
Space group C2/c (No. 15)
Asymmetric unit:
Co 0.000 0.042 0.250
Co 0.126 0.289 0.498
Co 0.247 0.042 0.742
Ir 0.000 0.459 0.750
Ir 0.126 0.204 0.005

Properties
Crystal system: monoclinic
Density of states at the Fermi level (states/eV per atom): 1.3643


Stability ranking, top and bottom: y is the most stable and x is the least stable.


--- w ---
Below is crystalline LiMg2CoIr at its relaxed geometry, with properties calculated at the PBE-GGA level.

Lattice parameters (Å, degrees): 4.366 4.366 3.875 90.00 90.00 90.00
Space group P4/mmm (No. 123)
Asymmetric unit:
Li 0.000 0.000 0.000
Mg 0.000 0.500 0.000
Co 0.000 0.000 0.500
Ir 0.500 0.500 0.500

Properties
Crystal system: tetragonal
Density of states at the Fermi level (states/eV per atom): 0.8211


--- x ---
Below is crystalline LiMg2CoIr at its relaxed geometry, with properties calculated at the PBE-GGA level.

Lattice parameters (Å, degrees): 4.960 4.960 4.706 90.00 90.00 90.00
Space group P4/mmm (No. 123)
Asymmetric unit:
Li 0.000 0.000 0.000
Mg 0.000 0.500 0.500
Co 0.500 0.500 0.000
Ir 0.500 0.500 0.500

Properties
Crystal system: tetragonal
Density of states at the Fermi level (states/eV per atom): 0.9099


Stability ranking, top and bottom: x is the most stable and w is the least stable.